*1*
4
Lattice="3.126 0.000 0.000 1.563 2.707 0.000 1.563 0.902 9.742" Properties=species:S:1:pos:R:3 comment="Tl2ReP | the Alexandria database | SCAN | single point on PBEsol structure" total_magnetization_mub_per_fu=0.00 pbc="T T T"
Tl 4.689 2.707 7.083
Tl 4.689 2.707 0.406
Re 1.563 0.902 2.817
P 3.126 1.805 4.305

*2*
4
Lattice="-0.799 -0.870 2.633 4.897 -1.526 0.982 -0.337 4.977 1.543" Properties=species:S:1:pos:R:3 comment="Tl2ReP | the Alexandria database | SCAN | single point on PBEsol structure" total_magnetization_mub_per_fu=0.00 pbc="T T T"
Tl -0.168 2.489 0.771
Tl 2.448 -0.763 0.491
Re 1.880 1.291 2.579
P -0.399 -0.435 1.316

So which one is most stable? That would be *1*, about 878 meV/atom below the next structure.